! GGA-PBE SiTcAs, optimized geometry; values from VASP
! Space-group type: Fmm2
! M_tot in μB per formula unit: 0.00
! Uncorrected formation energy in eV per atom: 0.251
! DOS(E_F) in states/eV/cell: 1.630
&SYSTEM
  ibrav = 0, nat = 3, ntyp = 3
/
ATOMIC_SPECIES
As 74.92 As.upf
Si 28.09 Si.upf
Tc 98.00 Tc.upf
CELL_PARAMETERS angstrom
6.746 0.019 -0.013
5.876 2.764 0.005
0.870 -0.957 2.573
ATOMIC_POSITIONS angstrom
As 1.007 -0.914 2.543
Si 4.606 0.232 1.753
Tc 8.749 1.550 0.843

***

! GGA-PBE CsGa8Sn2, optimized geometry; values from VASP
! Space-group type: Cmmm
! ΔH_f (0 K) in eV per atom: 0.035
! M_tot in μB per formula unit: 0.00
! DOS(E_F) in states/eV/cell: 3.718
&SYSTEM
  ibrav = 0, nat = 11, ntyp = 3
/
ATOMIC_SPECIES
Cs 132.91 Cs.upf
Ga 69.72 Ga.upf
Sn 118.71 Sn.upf
CELL_PARAMETERS angstrom
-4.953 -2.030 0.699
0.824 -2.991 4.418
-2.656 8.671 6.366
ATOMIC_POSITIONS angstrom
Cs 0.000 0.000 0.000
Ga -4.451 5.433 5.083
Ga -3.157 1.208 1.982
Ga -3.738 2.954 6.569
Ga -0.269 0.728 3.841
Ga -1.563 4.953 6.943
Ga -0.916 2.840 5.392
Ga -3.047 0.697 4.913
Ga -3.804 3.321 3.532
Sn -0.961 3.137 2.303
Sn -1.695 5.534 4.063

***

! GGA-PBE K3RbHg, optimized geometry; values from VASP
! Space-group type: Pm-3m
! ΔH_f (0 K) in eV per atom: 0.279
! M_tot in μB per formula unit: 0.00
! DOS(E_F) in states/eV/cell: 4.057
&SYSTEM
  ibrav = 0, nat = 5, ntyp = 3
/
ATOMIC_SPECIES
K 39.10 K.upf
Hg 200.59 Hg.upf
Rb 85.47 Rb.upf
CELL_PARAMETERS angstrom
-5.202 -5.168 3.188
5.943 -5.195 1.275
1.247 3.199 7.221
ATOMIC_POSITIONS angstrom
K 0.624 1.599 3.610
K -2.601 -2.584 1.594
K 2.971 -2.598 0.638
Hg 0.994 -3.582 5.842
Rb 0.000 0.000 0.000

***

! GGA-PBE LiPbOF2, optimized geometry; values from VASP
! Space-group type: P4/mmm
! M_tot in μB per formula unit: 0.00
! Uncorrected formation energy in eV per atom: -1.625
! DOS(E_F) in states/eV/cell: 0.444
&SYSTEM
  ibrav = 0, nat = 5, ntyp = 4
/
ATOMIC_SPECIES
F 19.00 F.upf
O 16.00 O.upf
Pb 207.20 Pb.upf
Li 6.94 Li.upf
CELL_PARAMETERS angstrom
4.531 0.000 0.000
0.000 4.531 0.000
0.000 0.000 4.214
ATOMIC_POSITIONS angstrom
F 2.265 0.000 0.000
F 0.000 2.265 0.000
O 0.000 0.000 2.107
Pb 0.000 0.000 0.000
Li 2.265 2.265 2.107

***

- What is the M_tot in the second record?
  0.00 μB per formula unit